# 1
AgS2N: relaxed, PBE-GGA. Values from VASP.

```
&SYSTEM
  ibrav = 0, nat = 12, ntyp = 3
/
ATOMIC_SPECIES
Ag 107.87 Ag.upf
S 32.06 S.upf
N 14.01 N.upf
CELL_PARAMETERS angstrom
3.2415 0.0000 0.0000
-1.6207 2.8072 0.0000
0.0000 0.0000 21.8115
ATOMIC_POSITIONS crystal
Ag 0.0000 0.0000 0.0000
Ag 0.3333 0.6667 0.6667
Ag 0.6667 0.3333 0.3333
S 0.0000 0.0000 0.1101
S 0.0000 0.0000 0.8899
S 0.3333 0.6667 0.5565
S 0.3333 0.6667 0.7768
S 0.6667 0.3333 0.2232
S 0.6667 0.3333 0.4435
N 0.0000 0.0000 0.5000
N 0.3333 0.6667 0.1667
N 0.6667 0.3333 0.8333
```

## Properties
As for the formation energy without anion corrections: 1.22 eV per atom. As for the space group: R-3m, No. 166. For the spin magnetization, the calculation gives 0.00 μB/cell.

---

# 2
TbPm5Dy2Sc: relaxed, PBE-GGA. Values from VASP.

```
&SYSTEM
  ibrav = 0, nat = 18, ntyp = 4
/
ATOMIC_SPECIES
Tb 158.93 Tb.upf
Pm 145.00 Pm.upf
Dy 162.50 Dy.upf
Sc 44.96 Sc.upf
CELL_PARAMETERS angstrom
2.6772 -10.9329 0.0000
2.6772 10.9329 0.0000
0.0000 0.0000 10.1954
ATOMIC_POSITIONS crystal
Tb 0.1012 0.8988 0.7500
Tb 0.8988 0.1012 0.2500
Pm 0.0000 0.0000 0.0000
Pm 0.0000 0.0000 0.5000
Pm 0.1264 0.8736 0.2500
Pm 0.2213 0.7787 0.5624
Pm 0.2213 0.7787 0.9376
Pm 0.4987 0.5013 0.7500
Pm 0.5013 0.4987 0.2500
Pm 0.7787 0.2213 0.0624
Pm 0.7787 0.2213 0.4376
Pm 0.8736 0.1264 0.7500
Dy 0.3841 0.6159 0.0011
Dy 0.3841 0.6159 0.4989
Dy 0.6159 0.3841 0.5011
Dy 0.6159 0.3841 0.9989
Sc 0.2854 0.7146 0.2500
Sc 0.7146 0.2854 0.7500
```

## Properties
Its energy is -4.75 eV/atom. As for the space group: Cmcm, No. 63. For the spin magnetization, the calculation gives 0.00 μB/cell.

---

# 3
Al2AgRh: relaxed, PBE-GGA. Values from VASP.

```
&SYSTEM
  ibrav = 0, nat = 16, ntyp = 3
/
ATOMIC_SPECIES
Al 26.98 Al.upf
Ag 107.87 Ag.upf
Rh 102.91 Rh.upf
CELL_PARAMETERS angstrom
4.0015 0.0000 0.0000
0.0000 4.0015 0.0000
0.0000 0.0000 17.1674
ATOMIC_POSITIONS crystal
Al 0.2331 0.2500 0.1250
Al 0.2500 0.7331 0.3750
Al 0.2500 0.7669 0.8750
Al 0.2669 0.2500 0.6250
Al 0.7331 0.7500 0.6250
Al 0.7500 0.2331 0.8750
Al 0.7500 0.2669 0.3750
Al 0.7669 0.7500 0.1250
Ag 0.0000 0.0000 0.5000
Ag 0.0000 0.5000 0.7500
Ag 0.5000 0.0000 0.2500
Ag 0.5000 0.5000 0.0000
Rh 0.0000 0.0000 0.0000
Rh 0.0000 0.5000 0.2500
Rh 0.5000 0.0000 0.7500
Rh 0.5000 0.5000 0.5000
```

## Properties
The distance to the lowest polymorph of the same formula is 0.501 eV per atom. As for the space group: I-42d, No. 122. For the spin magnetization, the calculation gives 0.00 μB/cell.

---

# 4
Sr2CdAs3: relaxed, PBE-GGA. Values from VASP.

```
&SYSTEM
  ibrav = 0, nat = 24, ntyp = 3
/
ATOMIC_SPECIES
Sr 87.62 Sr.upf
Cd 112.41 Cd.upf
As 74.92 As.upf
CELL_PARAMETERS angstrom
7.3269 0.0000 0.0000
0.0000 4.4623 0.0000
0.0000 0.0000 20.1285
ATOMIC_POSITIONS crystal
Sr 0.1582 0.2500 0.0774
Sr 0.1876 0.2500 0.2924
Sr 0.3124 0.7500 0.7924
Sr 0.3418 0.7500 0.5774
Sr 0.6582 0.2500 0.4226
Sr 0.6876 0.2500 0.2076
Sr 0.8124 0.7500 0.7076
Sr 0.8418 0.7500 0.9226
Cd 0.0377 0.7500 0.4407
Cd 0.4623 0.2500 0.9407
Cd 0.5377 0.7500 0.0593
Cd 0.9623 0.2500 0.5593
As 0.0213 0.7500 0.1791
As 0.1461 0.2500 0.6810
As 0.2403 0.2500 0.4599
As 0.2597 0.7500 0.9599
As 0.3539 0.7500 0.1810
As 0.4787 0.2500 0.6791
As 0.5213 0.7500 0.3209
As 0.6461 0.2500 0.8190
As 0.7403 0.2500 0.0401
As 0.7597 0.7500 0.5401
As 0.8539 0.7500 0.3190
As 0.9787 0.2500 0.8209
```

## Properties
Its energy is -3.79 eV/atom. As for the space group: Pnma, No. 62. For the spin magnetization, the calculation gives 0.00 μB/cell.

---

Which formula does entry 4 have?
Sr2CdAs3